1.
Computed, not measured: ScMnFe2 after structural relaxation at the GGA-PBE level of DFT.

a = 2.753 Å, b = 4.093 Å, c = 5.124 Å
α = 90.00°, β = 103.33°, γ = 90.00°
Fractional positions:
Sc (0.000, 0.000, 0.000)
Mn (0.302, 0.500, 0.712)
Fe (0.527, 0.000, 0.489)
Fe (0.701, 0.500, 0.276)

Summary:
formation enthalpy at 0 K	14.5	kJ/mol of atoms
calculated density	6.25	g/cm³
space group	Pm, No. 6

=====

2.
Computed, not measured: Sc2MnFe2 after structural relaxation at the GGA-PBE level of DFT.

a = 5.930 Å, b = 5.930 Å, c = 4.269 Å
α = 90.00°, β = 90.00°, γ = 90.00°
Fractional positions:
Sc (0.181, 0.319, 0.000)
Sc (0.319, 0.819, 0.000)
Sc (0.681, 0.181, 0.000)
Sc (0.819, 0.681, 0.000)
Mn (0.000, 0.000, 0.500)
Mn (0.500, 0.500, 0.500)
Fe (0.131, 0.631, 0.500)
Fe (0.369, 0.131, 0.500)
Fe (0.631, 0.869, 0.500)
Fe (0.869, 0.369, 0.500)

Summary:
formation enthalpy at 0 K	-0.3	kJ/mol of atoms
calculated density	5.68	g/cm³
space group	P4/mbm, No. 127

=====

3.
Computed, not measured: ScMn2Fe2 after structural relaxation at the GGA-PBE level of DFT.

a = 5.382 Å, b = 5.382 Å, c = 5.382 Å
α = 138.62°, β = 138.62°, γ = 59.95°
Fractional positions:
Sc (0.000, 0.000, 0.000)
Mn (0.250, 0.750, 0.500)
Mn (0.750, 0.250, 0.500)
Fe (0.384, 0.384, 0.000)
Fe (0.616, 0.616, 0.000)

Summary:
formation enthalpy at 0 K	4.3	kJ/mol of atoms
ΔE to the lowest computed polymorph	0.000	eV per atom
calculated density	6.56	g/cm³
space group	I4/mmm, No. 139

=====

4.
Computed, not measured: ScMnFe after structural relaxation at the GGA-PBE level of DFT.

a = 4.103 Å, b = 4.103 Å, c = 4.103 Å
α = 60.00°, β = 60.00°, γ = 60.00°
Fractional positions:
Sc (0.000, 0.000, 0.000)
Mn (0.500, 0.500, 0.500)
Fe (0.750, 0.750, 0.750)

Summary:
formation enthalpy at 0 K	41.9	kJ/mol of atoms
ΔE to the lowest computed polymorph	0.615	eV per atom
calculated density	5.30	g/cm³
space group	F-43m, No. 216

=====

5.
Computed, not measured: ScMnFe2 after structural relaxation at the GGA-PBE level of DFT.

a = 2.961 Å, b = 2.961 Å, c = 6.196 Å
α = 90.00°, β = 90.00°, γ = 90.00°
Fractional positions:
Sc (0.000, 0.000, 0.000)
Mn (0.500, 0.500, 0.706)
Fe (0.000, 0.000, 0.495)
Fe (0.500, 0.500, 0.282)

Summary:
formation enthalpy at 0 K	8.9	kJ/mol of atoms
calculated density	6.47	g/cm³
space group	P4mm, No. 99

=====

6.
Computed, not measured: ScMn2Fe2 after structural relaxation at the GGA-PBE level of DFT.

a = 6.995 Å, b = 6.995 Å, c = 2.532 Å
α = 90.00°, β = 90.00°, γ = 90.00°
Fractional positions:
Sc (0.000, 0.000, 0.000)
Sc (0.500, 0.500, 0.000)
Mn (0.119, 0.381, 0.000)
Mn (0.381, 0.881, 0.000)
Mn (0.619, 0.119, 0.000)
Mn (0.881, 0.619, 0.000)
Fe (0.169, 0.669, 0.500)
Fe (0.331, 0.169, 0.500)
Fe (0.669, 0.831, 0.500)
Fe (0.831, 0.331, 0.500)

Summary:
formation enthalpy at 0 K	14.1	kJ/mol of atoms
ΔE to the lowest computed polymorph	0.101	eV per atom
calculated density	7.14	g/cm³
space group	P4/mbm, No. 127

=====

7.
Computed, not measured: ScMnFe2 after structural relaxation at the GGA-PBE level of DFT.

a = 4.286 Å, b = 4.286 Å, c = 4.286 Å
α = 60.00°, β = 60.00°, γ = 60.00°
Fractional positions:
Sc (0.000, 0.000, 0.000)
Mn (0.250, 0.250, 0.250)
Fe (0.500, 0.500, 0.500)
Fe (0.750, 0.750, 0.750)

Summary:
formation enthalpy at 0 K	12.0	kJ/mol of atoms
calculated density	6.31	g/cm³
space group	F-43m, No. 216

=====

8.
Computed, not measured: ScMnFe2 after structural relaxation at the GGA-PBE level of DFT.

a = 8.350 Å, b = 8.350 Å, c = 8.350 Å
α = 19.10°, β = 19.10°, γ = 19.10°
Fractional positions:
Sc (0.000, 0.000, 0.000)
Mn (0.500, 0.500, 0.500)
Fe (0.242, 0.242, 0.242)
Fe (0.758, 0.758, 0.758)

Summary:
formation enthalpy at 0 K	37.4	kJ/mol of atoms
calculated density	6.45	g/cm³
space group	R-3m, No. 166

=====

9.
Computed, not measured: ScMn2Fe9 after structural relaxation at the GGA-PBE level of DFT.

a = 8.228 Å, b = 8.228 Å, c = 8.228 Å
α = 33.51°, β = 33.51°, γ = 33.51°
Fractional positions:
Sc (0.000, 0.000, 0.000)
Mn (0.147, 0.147, 0.147)
Mn (0.853, 0.853, 0.853)
Fe (0.081, 0.589, 0.589)
Fe (0.334, 0.334, 0.334)
Fe (0.411, 0.411, 0.919)
Fe (0.411, 0.919, 0.411)
Fe (0.500, 0.500, 0.500)
Fe (0.589, 0.081, 0.589)
Fe (0.589, 0.589, 0.081)
Fe (0.666, 0.666, 0.666)
Fe (0.919, 0.411, 0.411)

Summary:
formation enthalpy at 0 K	6.1	kJ/mol of atoms
calculated density	7.22	g/cm³
space group	R-3m, No. 166

=====

10.
Computed, not measured: Sc2MnFe after structural relaxation at the GGA-PBE level of DFT.

a = 5.300 Å, b = 5.300 Å, c = 5.300 Å
α = 137.08°, β = 137.08°, γ = 62.31°
Fractional positions:
Sc (0.000, 0.000, 0.000)
Sc (0.750, 0.250, 0.500)
Mn (0.500, 0.500, 0.000)
Fe (0.250, 0.750, 0.500)

Summary:
formation enthalpy at 0 K	12.7	kJ/mol of atoms
ΔE to the lowest computed polymorph	0.134	eV per atom
calculated density	4.89	g/cm³
space group	I-4m2, No. 119

=====

11.
Computed, not measured: Sc2MnFe after structural relaxation at the GGA-PBE level of DFT.

a = 3.175 Å, b = 3.175 Å, c = 6.482 Å
α = 90.00°, β = 90.00°, γ = 90.00°
Fractional positions:
Sc (0.000, 0.000, 0.230)
Sc (0.000, 0.000, 0.770)
Mn (0.500, 0.500, 0.500)
Fe (0.500, 0.500, 0.000)

Summary:
formation enthalpy at 0 K	1.7	kJ/mol of atoms
ΔE to the lowest computed polymorph	0.020	eV per atom
calculated density	5.10	g/cm³
space group	P4/mmm, No. 123

=====

12.
Computed, not measured: Sc2MnFe after structural relaxation at the GGA-PBE level of DFT.

a = 5.734 Å, b = 5.734 Å, c = 5.734 Å
α = 104.02°, β = 104.02°, γ = 121.02°
Fractional positions:
Sc (0.103, 0.625, 0.978)
Sc (0.375, 0.353, 0.478)
Sc (0.647, 0.125, 0.022)
Sc (0.875, 0.897, 0.522)
Mn (0.250, 0.750, 0.500)
Mn (0.500, 0.500, 0.000)
Fe (0.000, 0.000, 0.000)
Fe (0.750, 0.250, 0.500)

Summary:
formation enthalpy at 0 K	36.6	kJ/mol of atoms
ΔE to the lowest computed polymorph	0.382	eV per atom
calculated density	4.74	g/cm³
space group	I-42d, No. 122

=====

13.
Computed, not measured: Sc2MnFe after structural relaxation at the GGA-PBE level of DFT.

a = 2.895 Å, b = 2.895 Å, c = 7.964 Å
α = 90.00°, β = 90.00°, γ = 90.00°
Fractional positions:
Sc (0.000, 0.000, 0.000)
Sc (0.500, 0.500, 0.367)
Mn (0.500, 0.500, 0.761)
Fe (0.000, 0.000, 0.605)

Summary:
formation enthalpy at 0 K	6.2	kJ/mol of atoms
ΔE to the lowest computed polymorph	0.067	eV per atom
calculated density	4.99	g/cm³
space group	P4mm, No. 99

=====

14.
Computed, not measured: ScMn6Fe3 after structural relaxation at the GGA-PBE level of DFT.

a = 4.693 Å, b = 4.742 Å, c = 6.568 Å
α = 87.93°, β = 72.55°, γ = 61.69°
Fractional positions:
Sc (0.000, 0.000, 0.000)
Mn (0.075, 0.746, 0.595)
Mn (0.365, 0.037, 0.255)
Mn (0.380, 0.542, 0.229)
Mn (0.533, 0.755, 0.609)
Mn (0.676, 0.176, 0.454)
Mn (0.891, 0.550, 0.267)
Fe (0.047, 0.268, 0.623)
Fe (0.417, 0.295, 0.856)
Fe (0.710, 0.653, 0.927)

Summary:
formation enthalpy at 0 K	6.3	kJ/mol of atoms
calculated density	7.39	g/cm³
space group	P1, No. 1

=====

15.
Computed, not measured: ScMnFe2 after structural relaxation at the GGA-PBE level of DFT.

a = 5.091 Å, b = 5.091 Å, c = 5.091 Å
α = 144.75°, β = 130.24°, γ = 62.44°
Fractional positions:
Sc (0.000, 0.000, 0.000)
Mn (0.726, 0.226, 0.500)
Fe (0.267, 0.767, 0.500)
Fe (0.471, 0.471, 0.000)

Summary:
formation enthalpy at 0 K	9.7	kJ/mol of atoms
calculated density	6.11	g/cm³
space group	Imm2, No. 44

=====

16.
Computed, not measured: ScMnFe2 after structural relaxation at the GGA-PBE level of DFT.

a = 4.191 Å, b = 4.191 Å, c = 4.191 Å
α = 60.00°, β = 60.00°, γ = 60.00°
Fractional positions:
Sc (0.000, 0.000, 0.000)
Mn (0.500, 0.500, 0.500)
Fe (0.250, 0.250, 0.250)
Fe (0.750, 0.750, 0.750)

Summary:
formation enthalpy at 0 K	14.0	kJ/mol of atoms
calculated density	6.75	g/cm³
space group	Fm-3m, No. 225

=====

17.
Computed, not measured: Sc3MnFe8 after structural relaxation at the GGA-PBE level of DFT.

a = 8.423 Å, b = 8.423 Å, c = 8.423 Å
α = 33.53°, β = 33.53°, γ = 33.53°
Fractional positions:
Sc (0.000, 0.000, 0.000)
Sc (0.128, 0.128, 0.128)
Sc (0.506, 0.506, 0.506)
Mn (0.628, 0.628, 0.628)
Fe (0.062, 0.565, 0.565)
Fe (0.066, 0.066, 0.566)
Fe (0.066, 0.566, 0.066)
Fe (0.315, 0.315, 0.315)
Fe (0.565, 0.062, 0.565)
Fe (0.565, 0.565, 0.062)
Fe (0.566, 0.066, 0.066)
Fe (0.815, 0.815, 0.815)

Summary:
formation enthalpy at 0 K	-17.0	kJ/mol of atoms
calculated density	6.51	g/cm³
space group	R3m, No. 160

=====

18.
Computed, not measured: ScMnFe after structural relaxation at the GGA-PBE level of DFT.

a = 4.251 Å, b = 4.251 Å, c = 4.251 Å
α = 60.00°, β = 60.00°, γ = 60.00°
Fractional positions:
Sc (0.000, 0.000, 0.000)
Mn (0.750, 0.750, 0.750)
Fe (0.250, 0.250, 0.250)

Summary:
formation enthalpy at 0 K	92.4	kJ/mol of atoms
ΔE to the lowest computed polymorph	1.138	eV per atom
calculated density	4.76	g/cm³
space group	F-43m, No. 216

=====

19.
Computed, not measured: Sc2MnFe after structural relaxation at the GGA-PBE level of DFT.

a = 5.488 Å, b = 5.488 Å, c = 5.488 Å
α = 147.06°, β = 132.30°, γ = 59.18°
Fractional positions:
Sc (0.000, 0.000, 0.000)
Sc (0.716, 0.216, 0.500)
Mn (0.283, 0.783, 0.500)
Fe (0.465, 0.465, 0.000)

Summary:
formation enthalpy at 0 K	-0.3	kJ/mol of atoms
ΔE to the lowest computed polymorph	0.000	eV per atom
calculated density	5.06	g/cm³
space group	Imm2, No. 44

=====

20.
Computed, not measured: ScMn2Fe2 after structural relaxation at the GGA-PBE level of DFT.

a = 6.955 Å, b = 6.955 Å, c = 2.553 Å
α = 90.00°, β = 90.00°, γ = 90.00°
Fractional positions:
Sc (0.000, 0.000, 0.000)
Sc (0.500, 0.500, 0.000)
Mn (0.167, 0.333, 0.500)
Mn (0.333, 0.833, 0.500)
Mn (0.667, 0.167, 0.500)
Mn (0.833, 0.667, 0.500)
Fe (0.125, 0.625, 0.000)
Fe (0.375, 0.125, 0.000)
Fe (0.625, 0.875, 0.000)
Fe (0.875, 0.375, 0.000)

Summary:
formation enthalpy at 0 K	15.4	kJ/mol of atoms
ΔE to the lowest computed polymorph	0.115	eV per atom
calculated density	7.17	g/cm³
space group	P4/mbm, No. 127